[1]
{
  "formula": "Nd2Be3GaPt4",
  "functional": "PBE-GGA",
  "state": "relaxed",
  "cell": [[-0.076, 1.319, -3.908], [-4.012, 0.884, 0.376], [2.306, 9.171, 3.051]],
  "species": ["Nd", "Nd", "Be", "Be", "Be", "Ga", "Pt", "Pt", "Pt", "Pt"],
  "fractional_positions": [[0.500, 0.000, 0.244], [0.000, 0.500, 0.756], [0.000, 0.000, 0.500], [0.500, 0.000, 0.883], [0.000, 0.500, 0.117], [0.500, 0.500, 0.500], [0.500, 0.500, 0.000], [0.000, 0.000, 0.000], [0.500, 0.000, 0.643], [0.000, 0.500, 0.357]],
  "rho_g_cm3": 11.445,
  "space_group": "P-4m2",
  "formation_enthalpy_0k_ev_per_atom": -0.878,
  "energy_ev_per_atom": -5.67
}

---

[2]
{
  "formula": "TbHfZnPd",
  "functional": "PBE-GGA",
  "state": "relaxed",
  "cell": [[4.858, 0.000, 0.000], [2.429, 4.207, 0.000], [2.429, 1.402, 3.967]],
  "species": ["Tb", "Zn", "Hf", "Pd"],
  "fractional_positions": [[0.000, 0.000, 0.000], [0.250, 0.250, 0.250], [0.500, 0.500, 0.500], [0.750, 0.750, 0.750]],
  "rho_g_cm3": 10.429,
  "space_group": "F-43m",
  "formation_enthalpy_0k_ev_per_atom": -0.386,
  "energy_ev_per_atom": -5.65
}

---

[3]
{
  "formula": "Hf3NbV8",
  "functional": "PBE-GGA",
  "state": "relaxed",
  "cell": [[5.127, 0.000, 0.000], [2.563, 4.440, 0.000], [2.563, 1.480, 8.455]],
  "species": ["Hf", "Hf", "Hf", "Nb", "V", "V", "V", "V", "V", "V", "V", "V"],
  "fractional_positions": [[0.375, 0.375, 0.875], [0.999, 0.999, 0.004], [0.501, 0.501, 0.497], [0.875, 0.875, 0.375], [0.934, 0.437, 0.192], [0.441, 0.938, 0.683], [0.437, 0.437, 0.192], [0.938, 0.938, 0.683], [0.188, 0.188, 0.437], [0.687, 0.687, 0.939], [0.437, 0.934, 0.192], [0.938, 0.441, 0.683]],
  "rho_g_cm3": 8.938,
  "space_group": "R3m",
  "formation_enthalpy_0k_ev_per_atom": 0.004,
  "polymorph_energy_mev_per_atom": 18,
  "energy_ev_per_atom": -9.40
}

---

[4]
{
  "formula": "Li2CdB2Pd5",
  "functional": "PBE-GGA",
  "state": "relaxed",
  "cell": [[-2.833, -0.664, -0.575], [-1.023, -3.516, 9.105], [-2.719, 8.895, 3.129]],
  "species": ["Li", "Li", "Li", "Li", "Cd", "Cd", "B", "B", "B", "B", "Pd", "Pd", "Pd", "Pd", "Pd", "Pd", "Pd", "Pd", "Pd", "Pd"],
  "fractional_positions": [[0.000, 0.677, 0.177], [0.000, 0.323, 0.823], [0.000, 0.177, 0.323], [0.000, 0.823, 0.677], [0.000, 0.000, 0.000], [0.000, 0.500, 0.500], [0.000, 0.124, 0.624], [0.000, 0.876, 0.376], [0.000, 0.624, 0.876], [0.000, 0.376, 0.124], [0.500, 0.227, 0.071], [0.500, 0.773, 0.929], [0.500, 0.071, 0.773], [0.500, 0.727, 0.429], [0.500, 0.929, 0.227], [0.500, 0.273, 0.571], [0.500, 0.571, 0.727], [0.500, 0.429, 0.273], [0.500, 0.500, 0.000], [0.500, 0.000, 0.500]],
  "rho_g_cm3": 7.908,
  "space_group": "P4/mbm",
  "formation_enthalpy_0k_ev_per_atom": -0.357,
  "energy_ev_per_atom": -4.76
}

---

[5]
{
  "formula": "Al2HgSe",
  "functional": "PBE-GGA",
  "state": "relaxed",
  "cell": [[6.302, 0.000, 0.000], [0.000, 6.302, 0.000], [3.151, 3.151, 5.335]],
  "species": ["Hg", "Hg", "Se", "Se", "Al", "Al", "Al", "Al"],
  "fractional_positions": [[0.000, 0.000, 0.000], [0.750, 0.250, 0.500], [0.500, 0.500, 0.000], [0.250, 0.750, 0.500], [0.619, 0.125, 0.250], [0.131, 0.625, 0.250], [0.375, 0.381, 0.750], [0.875, 0.869, 0.750]],
  "rho_g_cm3": 5.228,
  "space_group": "I-42d",
  "formation_energy_uncorrected_kj_per_mol_fu": -20.8,
  "energy_ev_per_atom": -2.87
}

---

[6]
{
  "formula": "Sr2InCu",
  "functional": "PBE-GGA",
  "state": "relaxed",
  "cell": [[8.863, -0.013, -0.029], [-3.589, 4.397, -0.035], [1.686, 1.391, 3.158]],
  "species": ["Cu", "In", "Sr", "Sr"],
  "fractional_positions": [[0.000, 0.500, 0.500], [0.500, 0.500, 0.000], [0.000, 0.000, 0.000], [0.500, 0.000, 0.500]],
  "rho_g_cm3": 4.747,
  "space_group": "C2/m",
  "formation_enthalpy_0k_ev_per_atom": -0.154,
  "energy_ev_per_atom": -2.70
}

---

[7]
{
  "formula": "Ba12Ag2Au5",
  "functional": "PBE-GGA",
  "state": "relaxed",
  "cell": [[8.931, 0.000, 0.000], [-4.465, 8.356, -2.682], [0.000, 0.189, 11.841]],
  "species": ["Ba", "Ba", "Ba", "Ba", "Ba", "Ba", "Ba", "Ba", "Ba", "Ba", "Ba", "Ba", "Ag", "Ag", "Au", "Au", "Au", "Au", "Au"],
  "fractional_positions": [[0.919, 0.839, 0.200], [0.056, 0.621, 0.846], [0.566, 0.621, 0.846], [0.126, 0.742, 0.503], [0.616, 0.742, 0.503], [0.545, 0.091, 0.840], [0.455, 0.909, 0.160], [0.874, 0.258, 0.497], [0.384, 0.258, 0.497], [0.944, 0.379, 0.154], [0.434, 0.379, 0.154], [0.081, 0.161, 0.800], [0.828, 0.000, 0.000], [0.172, 0.000, 0.000], [0.272, 0.545, 0.626], [0.263, 0.526, 0.008], [0.000, 0.000, 0.500], [0.737, 0.474, 0.992], [0.728, 0.455, 0.374]],
  "rho_g_cm3": 5.326,
  "space_group": "C2/m",
  "formation_enthalpy_0k_ev_per_atom": -0.411,
  "energy_ev_per_atom": -2.79
}

---

[8]
{
  "formula": "Tl2AgB2",
  "functional": "PBE-GGA",
  "state": "relaxed",
  "cell": [[-0.815, 4.415, 0.532], [-4.301, -0.920, 1.043], [-1.421, 1.427, 5.195]],
  "species": ["Tl", "Tl", "B", "B", "Ag"],
  "fractional_positions": [[0.750, 0.250, 0.500], [0.250, 0.750, 0.500], [0.412, 0.412, 0.177], [0.588, 0.588, 0.823], [0.000, 0.000, 0.000]],
  "rho_g_cm3": 9.583,
  "space_group": "I4/mmm",
  "formation_enthalpy_0k_ev_per_atom": 1.027,
  "polymorph_energy_mev_per_atom": 134,
  "energy_ev_per_atom": -3.16
}

---

Copy entry 8 word for word.
{
  "formula": "Tl2AgB2",
  "functional": "PBE-GGA",
  "state": "relaxed",
  "cell": [[-0.815, 4.415, 0.532], [-4.301, -0.920, 1.043], [-1.421, 1.427, 5.195]],
  "species": ["Tl", "Tl", "B", "B", "Ag"],
  "fractional_positions": [[0.750, 0.250, 0.500], [0.250, 0.750, 0.500], [0.412, 0.412, 0.177], [0.588, 0.588, 0.823], [0.000, 0.000, 0.000]],
  "rho_g_cm3": 9.583,
  "space_group": "I4/mmm",
  "formation_enthalpy_0k_ev_per_atom": 1.027,
  "polymorph_energy_mev_per_atom": 134,
  "energy_ev_per_atom": -3.16
}

---

- Number 7 is which compound?
  Ba12Ag2Au5